No. 1
# Al2RhW, relaxed, DFT GGA-PBEsol
data_Al2RhW
_space_group_name_H-M_alt 'P 4/m m m'
_space_group_IT_number 123
_space_group_name_Hall '-P 4 2'
_cell_length_a 4.030
_cell_length_b 4.030
_cell_length_c 3.504
_cell_angle_alpha 90.00
_cell_angle_beta 90.00
_cell_angle_gamma 90.00
loop_
_atom_site_label
_atom_site_fract_x
_atom_site_fract_y
_atom_site_fract_z
Al1 0.000 0.500 0.000
Rh1 0.000 0.000 0.500
W1 0.500 0.500 0.500
# Formation enthalpy at 0 K ... -0.280 eV/atom
# ΔE to the lowest computed polymorph ... 22.1 meV per atom

No. 2
# Cu2P2O7, relaxed, DFT GGA-PBEsol
data_Cu2P2O7
_space_group_name_H-M_alt 'C 1 2/c 1'
_space_group_IT_number 15
_cell_length_a 7.042
_cell_length_b 8.101
_cell_length_c 9.213
_cell_angle_alpha 90.00
_cell_angle_beta 110.88
_cell_angle_gamma 90.00
loop_
_space_group_symop_operation_xyz
'x,y,z'
'-x,-y,-z'
'-x,y,-z+1/2'
'x,-y,z+1/2'
'x+1/2,y+1/2,z'
'-x+1/2,-y+1/2,-z'
'-x+1/2,y+1/2,-z+1/2'
'x+1/2,-y+1/2,z+1/2'
loop_
_atom_site_label
_atom_site_fract_x
_atom_site_fract_y
_atom_site_fract_z
Cu1 0.025 0.186 0.491
P1 0.192 0.489 0.706
O1 0.000 0.441 0.750
O2 0.125 0.000 0.138
O3 0.165 0.349 0.119
O4 0.223 0.342 0.613
# Formation energy (no corrections) ... -1.584 eV per atom
# ΔE to the lowest computed polymorph ... 0.0 meV per atom

No. 3
# TaCrSe, relaxed, DFT GGA-PBEsol
data_TaCrSe
_space_group_name_H-M_alt 'F -4 3 m'
_space_group_IT_number 216
_space_group_name_Hall 'F -4 2 3'
_cell_length_a 5.950
_cell_length_b 5.950
_cell_length_c 5.950
_cell_angle_alpha 90.00
_cell_angle_beta 90.00
_cell_angle_gamma 90.00
loop_
_atom_site_label
_atom_site_fract_x
_atom_site_fract_y
_atom_site_fract_z
Ta1 0.000 0.000 0.000
Cr1 0.250 0.250 0.750
Se1 0.250 0.250 0.250
# Formation energy (no corrections) ... 0.734 eV per atom
# ΔE to the lowest computed polymorph ... 666.5 meV per atom

No. 4
# MnPb2W, relaxed, DFT GGA-PBEsol
data_MnPb2W
_space_group_name_H-M_alt 'F m -3 m'
_space_group_IT_number 225
_space_group_name_Hall '-F 4 2 3'
_cell_length_a 6.751
_cell_length_b 6.751
_cell_length_c 6.751
_cell_angle_alpha 90.00
_cell_angle_beta 90.00
_cell_angle_gamma 90.00
loop_
_atom_site_label
_atom_site_fract_x
_atom_site_fract_y
_atom_site_fract_z
Mn1 0.000 0.000 0.000
Pb1 0.250 0.250 0.250
W1 0.000 0.000 0.500
# Formation enthalpy at 0 K ... 1.000 eV/atom

No. 5
# AlNi, relaxed, DFT GGA-PBEsol
data_AlNi
_space_group_name_H-M_alt 'I 41/a m d'
_space_group_IT_number 141
_cell_length_a 3.461
_cell_length_b 3.461
_cell_length_c 7.904
_cell_angle_alpha 90.00
_cell_angle_beta 90.00
_cell_angle_gamma 90.00
loop_
_space_group_symop_operation_xyz
'x,y,z'
'-x,-y,-z'
'-y+1/4,x+3/4,z+1/4'
'y+1/4,-x+3/4,-z+1/4'
'-x+1/2,-y,z+1/2'
'x+1/2,y,-z+1/2'
'y+1/4,-x+1/4,z+3/4'
'-y+1/4,x+1/4,-z+3/4'
'x,-y,-z'
'-x,y,z'
'-y+1/4,-x+1/4,-z+3/4'
'y+1/4,x+1/4,z+3/4'
'-x+1/2,y,-z+1/2'
'x+1/2,-y,z+1/2'
'y+1/4,x+3/4,-z+1/4'
'-y+1/4,-x+3/4,z+1/4'
'x+1/2,y+1/2,z+1/2'
'-x+1/2,-y+1/2,-z+1/2'
'-y+3/4,x+1/4,z+3/4'
'y+3/4,-x+1/4,-z+3/4'
'-x,-y+1/2,z'
'x,y+1/2,-z'
'y+3/4,-x+3/4,z+1/4'
'-y+3/4,x+3/4,-z+1/4'
'x+1/2,-y+1/2,-z+1/2'
'-x+1/2,y+1/2,z+1/2'
'-y+3/4,-x+3/4,-z+1/4'
'y+3/4,x+3/4,z+1/4'
'-x,y+1/2,-z'
'x,-y+1/2,z'
'y+3/4,x+1/4,-z+3/4'
'-y+3/4,-x+1/4,z+3/4'
loop_
_atom_site_label
_atom_site_fract_x
_atom_site_fract_y
_atom_site_fract_z
Al1 0.000 0.250 0.375
Ni1 0.000 0.250 0.875
# Formation enthalpy at 0 K ... -0.586 eV/atom

No. 6
# K2InSb, relaxed, DFT GGA-PBEsol
data_K2InSb
_space_group_name_H-M_alt 'R -3 m'
_space_group_IT_number 166
_space_group_name_Hall '-R 3 2"'
_cell_length_a 3.5732
_cell_length_b 3.5732
_cell_length_c 35.1337
_cell_angle_alpha 90.00
_cell_angle_beta 90.00
_cell_angle_gamma 120.00
loop_
_atom_site_label
_atom_site_fract_x
_atom_site_fract_y
_atom_site_fract_z
K1 0.0000 0.0000 0.2461
In1 0.0000 0.0000 0.0000
Sb1 0.0000 0.0000 0.5000
# Formation energy (no corrections) ... -0.014 eV per atom
# ΔE to the lowest computed polymorph ... 287.1 meV per atom

No. 7
# MoIrCl2, relaxed, DFT GGA-PBEsol
data_MoIrCl2
_space_group_name_H-M_alt 'P m m 2'
_space_group_IT_number 25
_cell_length_a 2.955
_cell_length_b 3.001
_cell_length_c 8.409
_cell_angle_alpha 90.00
_cell_angle_beta 90.00
_cell_angle_gamma 90.00
loop_
_space_group_symop_operation_xyz
'x,y,z'
'-x,-y,z'
'-x,y,z'
'x,-y,z'
loop_
_atom_site_label
_atom_site_fract_x
_atom_site_fract_y
_atom_site_fract_z
Mo1 0.000 0.000 0.000
Ir1 0.500 0.500 0.816
Cl1 0.000 0.500 0.583
Cl2 0.500 0.000 0.221
# Formation energy (no corrections) ... -0.246 eV per atom
# ΔE to the lowest computed polymorph ... 0.0 meV per atom

No. 8
# La2AgBr, relaxed, DFT GGA-PBEsol
data_La2AgBr
_space_group_name_H-M_alt 'R -3 m'
_space_group_IT_number 166
_space_group_name_Hall '-R 3 2"'
_cell_length_a 4.4220
_cell_length_b 4.4220
_cell_length_c 20.4465
_cell_angle_alpha 90.00
_cell_angle_beta 90.00
_cell_angle_gamma 120.00
loop_
_atom_site_label
_atom_site_fract_x
_atom_site_fract_y
_atom_site_fract_z
La1 0.0000 0.0000 0.2484
Ag1 0.0000 0.0000 0.0000
Br1 0.0000 0.0000 0.5000
# Formation energy (no corrections) ... -0.734 eV per atom
# ΔE to the lowest computed polymorph ... 40.2 meV per atom

No. 9
# KMn2O4, relaxed, DFT GGA-PBEsol
data_KMn2O4
_space_group_name_H-M_alt 'P 1 21/m 1'
_space_group_IT_number 11
_cell_length_a 2.880
_cell_length_b 12.442
_cell_length_c 4.840
_cell_angle_alpha 90.00
_cell_angle_beta 90.00
_cell_angle_gamma 90.00
loop_
_space_group_symop_operation_xyz
'x,y,z'
'-x,-y,-z'
'-x,y+1/2,-z'
'x,-y+1/2,z'
loop_
_atom_site_label
_atom_site_fract_x
_atom_site_fract_y
_atom_site_fract_z
K1 0.001 0.250 0.326
Mn1 0.000 0.000 0.000
Mn2 0.500 0.000 0.500
O1 0.000 0.081 0.664
O2 0.500 0.082 0.164
# Formation energy (no corrections) ... -1.728 eV per atom

No. 10
# MnSiOs2, relaxed, DFT GGA-PBEsol
data_MnSiOs2
_space_group_name_H-M_alt 'P 4/m m m'
_space_group_IT_number 123
_space_group_name_Hall '-P 4 2'
_cell_length_a 2.945
_cell_length_b 2.945
_cell_length_c 5.910
_cell_angle_alpha 90.00
_cell_angle_beta 90.00
_cell_angle_gamma 90.00
loop_
_atom_site_label
_atom_site_fract_x
_atom_site_fract_y
_atom_site_fract_z
Mn1 0.000 0.000 0.000
Si1 0.000 0.000 0.500
Os1 0.500 0.500 0.261
# Formation energy (no corrections) ... -0.160 eV per atom

No. 11
# ScIr2Br, relaxed, DFT GGA-PBEsol
data_ScIr2Br
_space_group_name_H-M_alt 'P 4/m m m'
_space_group_IT_number 123
_space_group_name_Hall '-P 4 2'
_cell_length_a 3.922
_cell_length_b 3.922
_cell_length_c 4.228
_cell_angle_alpha 90.00
_cell_angle_beta 90.00
_cell_angle_gamma 90.00
loop_
_atom_site_label
_atom_site_fract_x
_atom_site_fract_y
_atom_site_fract_z
Sc1 0.000 0.000 0.000
Ir1 0.000 0.500 0.500
Br1 0.500 0.500 0.000
# Formation energy (no corrections) ... 0.158 eV per atom
# ΔE to the lowest computed polymorph ... 0.0 meV per atom

No. 12
# CdTcAs2, relaxed, DFT GGA-PBEsol
data_CdTcAs2
_space_group_name_H-M_alt 'P 4 m m'
_space_group_IT_number 99
_cell_length_a 3.185
_cell_length_b 3.185
_cell_length_c 7.006
_cell_angle_alpha 90.00
_cell_angle_beta 90.00
_cell_angle_gamma 90.00
loop_
_space_group_symop_operation_xyz
'x,y,z'
'-y,x,z'
'-x,-y,z'
'y,-x,z'
'-x,y,z'
'y,x,z'
'x,-y,z'
'-y,-x,z'
loop_
_atom_site_label
_atom_site_fract_x
_atom_site_fract_y
_atom_site_fract_z
Cd1 0.000 0.000 0.000
Tc1 0.500 0.500 0.277
As1 0.000 0.000 0.426
As2 0.500 0.500 0.669
# Formation enthalpy at 0 K ... 0.156 eV/atom

No. 13
# AlMoAs2, relaxed, DFT GGA-PBEsol
data_AlMoAs2
_space_group_name_H-M_alt 'I -4 2 d'
_space_group_IT_number 122
_space_group_name_Hall 'I -4 2bw'
_cell_length_a 5.755
_cell_length_b 5.755
_cell_length_c 11.064
_cell_angle_alpha 90.00
_cell_angle_beta 90.00
_cell_angle_gamma 90.00
loop_
_atom_site_label
_atom_site_fract_x
_atom_site_fract_y
_atom_site_fract_z
Al1 0.000 0.000 0.000
Mo1 0.000 0.000 0.500
As1 0.246 0.250 0.625
# Formation enthalpy at 0 K ... 0.302 eV/atom

No. 14
# BePt2, relaxed, DFT GGA-PBEsol
data_BePt2
_space_group_name_H-M_alt 'P n m a'
_space_group_IT_number 62
_cell_length_a 5.292
_cell_length_b 3.875
_cell_length_c 7.410
_cell_angle_alpha 90.00
_cell_angle_beta 90.00
_cell_angle_gamma 90.00
loop_
_space_group_symop_operation_xyz
'x,y,z'
'-x,-y,-z'
'-x+1/2,-y,z+1/2'
'x+1/2,y,-z+1/2'
'x+1/2,-y+1/2,-z+1/2'
'-x+1/2,y+1/2,z+1/2'
'-x,y+1/2,-z'
'x,-y+1/2,z'
loop_
_atom_site_label
_atom_site_fract_x
_atom_site_fract_y
_atom_site_fract_z
Be1 0.202 0.250 0.106
Pt1 0.027 0.250 0.797
Pt2 0.163 0.250 0.433
# Formation enthalpy at 0 K ... -0.510 eV/atom

No. 15
# MgBrCl, relaxed, DFT GGA-PBEsol
data_MgBrCl
_space_group_name_H-M_alt 'F -4 3 m'
_space_group_IT_number 216
_space_group_name_Hall 'F -4 2 3'
_cell_length_a 6.708
_cell_length_b 6.708
_cell_length_c 6.708
_cell_angle_alpha 90.00
_cell_angle_beta 90.00
_cell_angle_gamma 90.00
loop_
_atom_site_label
_atom_site_fract_x
_atom_site_fract_y
_atom_site_fract_z
Mg1 0.000 0.000 0.000
Br1 0.000 0.000 0.500
Cl1 0.250 0.250 0.750
# Formation energy (no corrections) ... -0.636 eV per atom
# ΔE to the lowest computed polymorph ... 1032.8 meV per atom

No. 16
# Rh2SeCl, relaxed, DFT GGA-PBEsol
data_Rh2SeCl
_space_group_name_H-M_alt 'P 4/m m m'
_space_group_IT_number 123
_space_group_name_Hall '-P 4 2'
_cell_length_a 3.080
_cell_length_b 3.080
_cell_length_c 6.475
_cell_angle_alpha 90.00
_cell_angle_beta 90.00
_cell_angle_gamma 90.00
loop_
_atom_site_label
_atom_site_fract_x
_atom_site_fract_y
_atom_site_fract_z
Rh1 0.000 0.000 0.214
Se1 0.500 0.500 0.000
Cl1 0.500 0.500 0.500
# Formation energy (no corrections) ... 0.156 eV per atom
# ΔE to the lowest computed polymorph ... 0.0 meV per atom

No. 17
# Cd2AgAs, relaxed, DFT GGA-PBEsol
data_Cd2AgAs
_space_group_name_H-M_alt 'R 3 m'
_space_group_IT_number 160
_space_group_name_Hall 'R 3 -2"'
_cell_length_a 2.9705
_cell_length_b 2.9705
_cell_length_c 29.9984
_cell_angle_alpha 90.00
_cell_angle_beta 90.00
_cell_angle_gamma 120.00
loop_
_atom_site_label
_atom_site_fract_x
_atom_site_fract_y
_atom_site_fract_z
Cd1 0.0000 0.0000 0.0000
Cd2 0.0000 0.0000 0.2445
Ag1 0.0000 0.0000 0.7462
As1 0.0000 0.0000 0.4878
# Formation enthalpy at 0 K ... 0.093 eV/atom

No. 18
# Ta5Mo3, relaxed, DFT GGA-PBEsol
data_Ta5Mo3
_space_group_name_H-M_alt 'I m -3 m'
_space_group_IT_number 229
_space_group_name_Hall '-I 4 2 3'
_cell_length_a 6.423
_cell_length_b 6.423
_cell_length_c 6.423
_cell_angle_alpha 90.00
_cell_angle_beta 90.00
_cell_angle_gamma 90.00
loop_
_atom_site_label
_atom_site_fract_x
_atom_site_fract_y
_atom_site_fract_z
Ta1 0.000 0.000 0.000
Ta2 0.250 0.250 0.250
Mo1 0.000 0.000 0.500
# Formation enthalpy at 0 K ... -0.121 eV/atom
# ΔE to the lowest computed polymorph ... 10.5 meV per atom

No. 19
# KCd4P, relaxed, DFT GGA-PBEsol
data_KCd4P
_space_group_name_H-M_alt 'F -4 3 m'
_space_group_IT_number 216
_space_group_name_Hall 'F -4 2 3'
_cell_length_a 8.260
_cell_length_b 8.260
_cell_length_c 8.260
_cell_angle_alpha 90.00
_cell_angle_beta 90.00
_cell_angle_gamma 90.00
loop_
_atom_site_label
_atom_site_fract_x
_atom_site_fract_y
_atom_site_fract_z
K1 0.000 0.000 0.000
Cd1 0.124 0.124 0.624
P1 0.250 0.250 0.250
# Formation enthalpy at 0 K ... 0.226 eV/atom

No. 20
# SrCa2I6, relaxed, DFT GGA-PBEsol
data_SrCa2I6
_space_group_name_H-M_alt 'P 21 21 21'
_space_group_IT_number 19
_cell_length_a 7.168
_cell_length_b 14.259
_cell_length_c 14.524
_cell_angle_alpha 90.00
_cell_angle_beta 90.00
_cell_angle_gamma 90.00
loop_
_space_group_symop_operation_xyz
'x,y,z'
'-x+1/2,-y,z+1/2'
'x+1/2,-y+1/2,-z'
'-x,y+1/2,-z+1/2'
loop_
_atom_site_label
_atom_site_fract_x
_atom_site_fract_y
_atom_site_fract_z
Sr1 0.231 0.113 0.263
Ca1 0.202 0.611 0.931
Ca2 0.218 0.804 0.379
I1 0.002 0.301 0.303
I2 0.010 0.998 0.420
I3 0.014 0.303 0.579
I4 0.016 0.069 0.753
I5 0.111 0.584 0.381
I6 0.116 0.774 0.584
# Formation energy (no corrections) ... -1.554 eV per atom

no.,total moment (Bohr magnetons per cell)
1,0.00
2,7.16
3,0.00
4,11.30
5,0.00
6,0.00
7,0.00
8,0.00
9,10.00
10,2.94
11,0.00
12,0.00
13,5.85
14,0.00
15,0.00
16,0.00
17,0.00
18,0.00
19,0.00
20,0.00